[1]
This record from Alexandria via LeMat-Bulk describes a relaxed MnNi3Se8 crystal. The functional is PBE.

```
12
Lattice="-4.158 4.270 3.850 1.991 -6.299 2.597 4.708 5.208 -0.691" Properties=species:S:1:pos:R:3 pbc="T T T"
Se -0.047 -1.859 5.230
Se 1.520 4.038 3.701
Se 3.651 1.910 1.826
Se 2.588 5.038 0.526
Se 0.540 7.141 2.422
Se 1.021 -0.859 2.056
Se 2.001 -3.962 3.334
Se -1.110 1.269 3.931
Mn 0.000 0.000 0.000
Ni 0.995 -3.149 1.298
Ni -2.079 2.135 1.925
Ni -1.084 -1.015 3.224
```

## Properties
magnetization: 0.211 μB per atom
formation energy (no corrections): -0.281 eV per atom
volume: 20.9 Å³/atom
DOS(E_F): 5.68 states/eV/cell
SG: No. 166



[2]
This record from Alexandria via LeMat-Bulk describes a relaxed MnNi2Se crystal. The functional is PBE.

```
4
Lattice="3.555 0.000 0.000 0.000 3.160 -0.012 0.000 1.587 4.828" Properties=species:S:1:pos:R:3 pbc="T T T"
Ni 0.000 0.200 0.065
Ni 1.778 1.780 1.102
Mn 1.778 3.362 3.510
Se 0.000 1.778 2.546
```

## Properties
magnetization: 0.856 μB per atom
formation energy (no corrections): 0.055 eV per atom
volume: 13.6 Å³/atom
DOS(E_F): 2.75 states/eV/cell
SG: No. 6



[3]
This record from Alexandria via LeMat-Bulk describes a relaxed MnNiSe3 crystal. The functional is PBE.

```
5
Lattice="-4.466 -1.310 -1.013 0.638 -4.049 2.426 -1.528 2.139 3.972" Properties=species:S:1:pos:R:3 pbc="T T T"
Se -2.233 -0.655 -0.507
Se 0.319 -2.025 1.213
Se -0.764 1.069 1.986
Ni -2.678 -1.610 2.692
Mn 0.000 0.000 0.000
```

## Properties
magnetization: 0.748 μB per atom
formation energy (no corrections): 0.595 eV per atom
volume: 21.6 Å³/atom
DOS(E_F): 7.52 states/eV/cell
SG: No. 221



[4]
This record from Alexandria via LeMat-Bulk describes a relaxed Mn2NiSe crystal. The functional is PBE.

```
4
Lattice="-2.198 -1.973 3.617 -1.837 -4.168 1.028 2.248 -2.243 2.216" Properties=species:S:1:pos:R:3 pbc="T T T"
Ni -1.341 -6.288 5.145
Mn -0.932 -4.216 3.445
Mn -3.998 -6.117 4.630
Se -0.447 -2.096 1.715
```

## Properties
magnetization: 1.418 μB per atom
formation energy (no corrections): 0.140 eV per atom
volume: 12.9 Å³/atom
DOS(E_F): 3.83 states/eV/cell
SG: No. 71



[5]
This record from Alexandria via LeMat-Bulk describes a relaxed MnNi2Se crystal. The functional is PBE.

```
4
Lattice="5.300 -0.882 -0.521 4.640 2.709 -0.521 4.640 0.853 2.623" Properties=species:S:1:pos:R:3 pbc="T T T"
Se 7.458 1.370 0.809
Ni 3.716 0.683 0.403
Ni 14.472 2.659 1.570
Mn 10.807 1.985 1.172
```

## Properties
magnetization: 0.870 μB per atom
formation energy (no corrections): 0.176 eV per atom
volume: 14.3 Å³/atom
DOS(E_F): 2.71 states/eV/cell
SG: No. 160



[6]
This record from Alexandria via LeMat-Bulk describes a relaxed Mn2NiSe crystal. The functional is PBE.

```
4
Lattice="-1.250 0.964 2.854 -2.987 0.000 -1.308 -0.643 -5.179 1.467" Properties=species:S:1:pos:R:3 pbc="T T T"
Mn -0.006 -0.045 0.013
Mn -0.316 -2.544 0.721
Ni -2.279 -0.813 1.140
Se -2.601 -3.402 1.873
```

## Properties
magnetization: 2.002 μB per atom
formation energy (no corrections): 0.076 eV per atom
volume: 14.4 Å³/atom
DOS(E_F): 3.96 states/eV/cell
SG: No. 123



[7]
This record from Alexandria via LeMat-Bulk describes a relaxed Mn4NiSe5 crystal. The functional is PBE.

```
10
Lattice="-6.513 3.482 6.623 -9.730 0.466 1.871 8.831 -4.097 -1.903" Properties=species:S:1:pos:R:3 pbc="T T T"
Se -1.959 -1.449 0.773
Se -2.086 0.481 4.057
Se -5.453 1.299 5.818
Se 1.159 -0.308 2.360
Se -5.325 -0.630 2.534
Mn -3.184 0.774 1.665
Mn -9.719 2.362 5.083
Mn -13.059 3.174 6.829
Mn -6.524 1.586 3.412
Ni 0.000 0.000 0.000
```

## Properties
magnetization: 1.714 μB per atom
formation energy (no corrections): -0.299 eV per atom
volume: 18.6 Å³/atom
DOS(E_F): 5.24 states/eV/cell
SG: No. 71



[8]
This record from Alexandria via LeMat-Bulk describes a relaxed Mn2NiSe crystal. The functional is PBE.

```
4
Lattice="6.642 -0.161 -0.096 5.876 3.100 -0.096 5.876 1.379 2.777" Properties=species:S:1:pos:R:3 pbc="T T T"
Mn 9.301 2.183 1.307
Mn 18.289 4.294 2.570
Se 13.795 3.239 1.939
Ni 4.598 1.080 0.646
```

## Properties
magnetization: 1.851 μB per atom
formation energy (no corrections): 0.143 eV per atom
volume: 15.4 Å³/atom
DOS(E_F): 2.81 states/eV/cell
SG: No. 166